# LaTc2Ni PBE optimized geometry
data_LaTc2Ni
_chemical_formula_sum 'La2 Tc4 Ni2'
_space_group_name_H-M_alt 'C m m m'
_space_group_IT_number 65
_space_group_name_Hall '-C 2 2'
_cell_length_a 4.898
_cell_length_b 6.764
_cell_length_c 4.639
_cell_angle_alpha 90.00
_cell_angle_beta 90.00
_cell_angle_gamma 90.00
loop_
_atom_site_label
_atom_site_type_symbol
_atom_site_fract_x
_atom_site_fract_y
_atom_site_fract_z
La1 La 0.000 0.000 0.000
Tc1 Tc 0.000 0.323 0.500
Ni1 Ni 0.000 0.500 0.000
# - V: 153.71 Å³ per cell
# - Crystal system: orthorhombic
# - ΔE_f: 0.221 eV per atom
# - Energy relative to the lowest polymorph listed for this composition: 165 meV per atom